[1]
InPAu | GGA-PBE | relaxed

Lattice parameters (Å, degrees): 5.7855 5.7853 3.6444 71.64 71.64 36.72
With the nearest neighbours (Å) after each atom.
Atoms (fractional coordinates):
Au  0.0677  0.0677  0.9323  4 P 2.59, 1 In 2.81
P  0.5935  0.5935  0.4065  4 Au 2.59, 1 In 2.64
In  0.3388  0.3388  0.6612  1 P 2.64, 1 Au 2.81

Values from the calculation:
total DFT energy (no corrections) = -3.57 eV per atom
Fermi-level density of states = 0.49 states/eV per atom
excess energy over the best structure of this formula in the dataset = 0.2061 eV/atom
calculated formation energy = 241 meV per atom

***

[2]
Zr12Ga6Os | GGA-PBE | relaxed

Lattice parameters (Å, degrees): 7.6620 7.6620 7.6620 98.29 98.29 98.29
With the nearest neighbours (Å) after each atom.
Atoms (fractional coordinates):
Zr  0.4519  0.8034  0.5738  4 Ga 2.80-2.93
Zr  0.5738  0.4519  0.8034  4 Ga 2.80-2.93
Zr  0.5481  0.1966  0.4262  4 Ga 2.80-2.93
Zr  0.1966  0.4262  0.5481  4 Ga 2.80-2.93
Zr  0.9238  0.9831  0.6632  1 Os 2.54, 2 Ga 2.77-2.81
Zr  0.0169  0.3368  0.0762  1 Os 2.54, 2 Ga 2.77-2.81
Zr  0.9831  0.6632  0.9238  1 Os 2.54, 2 Ga 2.77-2.81
Zr  0.0762  0.0169  0.3368  1 Os 2.54, 2 Ga 2.77-2.81
Zr  0.3368  0.0762  0.0169  1 Os 2.54, 2 Ga 2.77-2.81
Zr  0.8034  0.5738  0.4519  4 Ga 2.80-2.93
Zr  0.4262  0.5481  0.1966  4 Ga 2.80-2.93
Zr  0.6632  0.9238  0.9831  1 Os 2.54, 2 Ga 2.77-2.81
Ga  0.6890  0.8746  0.3360  7 Zr 2.77-3.01
Ga  0.8746  0.3360  0.6890  7 Zr 2.77-3.01
Ga  0.6640  0.3110  0.1254  7 Zr 2.77-3.01
Ga  0.3360  0.6890  0.8746  7 Zr 2.77-3.01
Ga  0.3110  0.1254  0.6640  7 Zr 2.77-3.01
Ga  0.1254  0.6640  0.3110  7 Zr 2.77-3.01
Os  0.0000  0.0000  0.0000  6 Zr 2.54

Values from the calculation:
total DFT energy (no corrections) = -6.99 eV per atom
Fermi-level density of states = 0.94 states/eV per atom
calculated formation energy = -42 meV per atom

***

[3]
NbGeP2S | GGA-PBE | relaxed

Lattice parameters (Å, degrees): 4.5731 4.5731 4.5819 90.00 90.00 90.00
With the nearest neighbours (Å) after each atom.
Atoms (fractional coordinates):
S  0.0000  0.0000  0.5000  2 Ge 2.29
P  0.5000  0.0000  0.0000  2 Ge 2.29
P  0.0000  0.5000  0.0000  2 Ge 2.29
Ge  0.0000  0.0000  0.0000  4 P 2.29, 2 S 2.29
Nb  0.5000  0.5000  0.5000  4 S 3.23, 8 P 3.24

Values from the calculation:
energy relative to the elements, uncorrected = 4.59 eV per formula unit
total DFT energy (no corrections) = -5.01 eV per atom
Fermi-level density of states = 0.84 states/eV per atom
excess energy over the best structure of this formula in the dataset = 0.5859 eV/atom

***

[4]
As2P | GGA-PBE | relaxed

Lattice parameters (Å, degrees): 7.3433 7.3433 8.0934 61.73 61.73 25.81
With the nearest neighbours (Å) after each atom.
Atoms (fractional coordinates):
As  0.6183  0.6183  0.2091  2 P 2.36, 1 As 2.49
As  0.4002  0.4002  0.0818  2 As 2.49-2.50
As  0.5998  0.5998  0.9182  2 As 2.49-2.50
As  0.3817  0.3817  0.7909  2 P 2.36, 1 As 2.49
P  0.9875  0.9875  0.3734  1 P 2.25, 2 As 2.36
P  0.0125  0.0125  0.6266  1 P 2.25, 2 As 2.36

Values from the calculation:
total DFT energy (no corrections) = -4.75 eV per atom
Fermi-level density of states = 0.20 states/eV per atom
excess energy over the best structure of this formula in the dataset = 0.0897 eV/atom
calculated formation energy = 148 meV per atom

***

[5]
TbTl2AgI6 | GGA-PBE | relaxed

Lattice parameters (Å, degrees): 8.0682 8.6351 11.5182 90.00 89.32 90.00
With the nearest neighbours (Å) after each atom.
Atoms (fractional coordinates):
I  0.1902  0.1888  0.4471  1 Tb 3.05, 1 Ag 3.15
I  0.6828  0.3018  0.5528  1 Tb 3.06, 1 Ag 3.13
I  0.6140  0.0217  0.2464  1 Ag 3.00, 1 Tb 3.06
I  0.3098  0.6888  0.0529  1 Tb 3.05, 1 Ag 3.15
I  0.1140  0.4783  0.7464  1 Ag 3.00, 1 Tb 3.06
I  0.3172  0.6982  0.4472  1 Tb 3.06, 1 Ag 3.13
I  0.3860  0.9783  0.7536  1 Ag 3.00, 1 Tb 3.06
I  0.8098  0.8112  0.5529  1 Tb 3.05, 1 Ag 3.15
I  0.1828  0.1982  0.0528  1 Tb 3.06, 1 Ag 3.13
I  0.8860  0.5217  0.2536  1 Ag 3.00, 1 Tb 3.06
I  0.6902  0.3112  0.9471  1 Tb 3.05, 1 Ag 3.15
I  0.8172  0.8018  0.9472  1 Tb 3.06, 1 Ag 3.13
Tb  0.0000  0.5000  0.0000  6 I 3.05-3.06
Tb  0.5000  0.0000  0.5000  6 I 3.05-3.06
Tl  0.0354  0.9050  0.2557  7 I 3.52-3.94
Tl  0.9646  0.0950  0.7443  7 I 3.52-3.94
Tl  0.4646  0.4050  0.2443  7 I 3.52-3.94
Tl  0.5354  0.5950  0.7557  7 I 3.52-3.94
Ag  0.5000  0.0000  0.0000  6 I 3.00-3.15
Ag  0.0000  0.5000  0.5000  6 I 3.00-3.15

Values from the calculation:
energy relative to the elements, uncorrected = -8.50 eV per formula unit
total DFT energy (no corrections) = -3.00 eV per atom
Fermi-level density of states = 0.00 states/eV per atom

***

[6]
Pr4Sm15Tm | GGA-PBE | relaxed

Lattice parameters (Å, degrees): 5.1491 5.1491 25.7024 90.00 90.00 90.00
With the nearest neighbours (Å) after each atom.
Atoms (fractional coordinates):
Sm  0.5000  0.0000  0.7012  8 Sm 3.64-3.65, 4 Pr 3.65
Sm  0.0000  0.5000  0.5000  8 Sm 3.64-3.65, 4 Pr 3.65
Sm  0.5000  0.5000  0.3995  4 Pr 3.64, 8 Sm 3.65
Sm  0.5000  0.5000  0.6005  4 Pr 3.64, 8 Sm 3.65
Sm  0.5000  0.5000  0.1980  4 Pr 3.64, 8 Sm 3.64-3.65
Sm  0.0000  0.5000  0.0977  8 Sm 3.60-3.64, 2 Tm 3.60, 2 Pr 3.65
Sm  0.5000  0.0000  0.0977  8 Sm 3.60-3.64, 2 Tm 3.60, 2 Pr 3.65
Sm  0.5000  0.0000  0.9023  8 Sm 3.60-3.64, 2 Tm 3.60, 2 Pr 3.65
Sm  0.0000  0.5000  0.7012  8 Sm 3.64-3.65, 4 Pr 3.65
Sm  0.5000  0.5000  0.8020  4 Pr 3.64, 8 Sm 3.64-3.65
Sm  0.5000  0.0000  0.5000  8 Sm 3.64-3.65, 4 Pr 3.65
Sm  0.5000  0.5000  0.0000  8 Sm 3.60, 4 Tm 3.64
Sm  0.0000  0.5000  0.9023  8 Sm 3.60-3.64, 2 Tm 3.60, 2 Pr 3.65
Sm  0.0000  0.5000  0.2988  8 Sm 3.64-3.65, 4 Pr 3.65
Sm  0.5000  0.0000  0.2988  8 Sm 3.64-3.65, 4 Pr 3.65
Pr  0.0000  0.0000  0.8016  12 Sm 3.64-3.65
Pr  0.0000  0.0000  0.6006  12 Sm 3.64-3.65
Pr  0.0000  0.0000  0.3994  12 Sm 3.64-3.65
Pr  0.0000  0.0000  0.1984  12 Sm 3.64-3.65
Tm  0.0000  0.0000  0.0000  12 Sm 3.60-3.64

Values from the calculation:
total DFT energy (no corrections) = -4.70 eV per atom
Fermi-level density of states = 1.44 states/eV per atom
calculated formation energy = 17 meV per atom

***

[7]
La6PIr2Br2 | GGA-PBE | relaxed

Lattice parameters (Å, degrees): 7.3671 7.3671 7.8064 98.99 98.99 118.60
With the nearest neighbours (Å) after each atom.
Atoms (fractional coordinates):
La  0.0689  0.4071  0.7087  2 Ir 2.87-2.92, 1 P 2.94
La  0.4071  0.0689  0.7087  2 Ir 2.87-2.92, 1 P 2.94
La  0.7165  0.7165  0.7044  2 Ir 2.87, 1 P 3.03
La  0.5929  0.9311  0.2913  2 Ir 2.87-2.92, 1 P 2.94
La  0.9311  0.5929  0.2913  2 Ir 2.87-2.92, 1 P 2.94
La  0.2835  0.2835  0.2956  2 Ir 2.87, 1 P 3.03
Ir  0.6703  0.3297  0.5000  6 La 2.87-2.92
Ir  0.3297  0.6703  0.5000  6 La 2.87-2.92
Br  0.8385  0.1615  0.0000  6 La 3.30-3.32
Br  0.1615  0.8385  0.0000  6 La 3.30-3.32
P  0.0000  0.0000  0.5000  6 La 2.94-3.03

Values from the calculation:
energy relative to the elements, uncorrected = -12.30 eV per formula unit
total DFT energy (no corrections) = -6.21 eV per atom
Fermi-level density of states = 1.00 states/eV per atom

***

[8]
Sc2Be2Nb | GGA-PBE | relaxed

Lattice parameters (Å, degrees): 7.2851 7.2851 3.1145 90.00 90.00 90.00
With the nearest neighbours (Å) after each atom.
Atoms (fractional coordinates):
Be  0.8900  0.6100  0.0000  1 Be 2.27
Be  0.6100  0.1100  0.0000  1 Be 2.27
Be  0.1100  0.3900  0.0000  1 Be 2.27
Be  0.3900  0.8900  0.0000  1 Be 2.27
Sc  0.8176  0.3176  0.5000  6 Be 2.65-2.69
Sc  0.6824  0.8176  0.5000  6 Be 2.65-2.69
Sc  0.1824  0.6824  0.5000  6 Be 2.65-2.69
Sc  0.3176  0.1824  0.5000  6 Be 2.65-2.69
Nb  0.0000  0.0000  0.0000  4 Be 2.95, 8 Sc 3.09, 2 Nb 3.11
Nb  0.5000  0.5000  0.0000  4 Be 2.95, 8 Sc 3.09, 2 Nb 3.11

Values from the calculation:
total DFT energy (no corrections) = -5.93 eV per atom
Fermi-level density of states = 0.99 states/eV per atom
calculated formation energy = 109 meV per atom